A relaxed structure of Pr8Ni2Sb. Source: Alexandria, functional PBE. Values from VASP.

Quantum ESPRESSO input file:
```
&SYSTEM
  ibrav = 0, nat = 11, ntyp = 3
/
ATOMIC_SPECIES
Pr 140.91 Pr.upf
Ni 58.69 Ni.upf
Sb 121.76 Sb.upf
CELL_PARAMETERS angstrom
4.419 -6.912 0.000
4.419 6.912 0.000
-1.305 0.000 5.389
ATOMIC_POSITIONS crystal
Pr 0.075 0.324 0.576
Pr 0.247 0.753 0.000
Pr 0.324 0.075 0.576
Pr 0.392 0.392 0.195
Pr 0.608 0.608 0.805
Pr 0.676 0.925 0.424
Pr 0.753 0.247 0.000
Pr 0.925 0.676 0.424
Ni 0.305 0.695 0.500
Ni 0.695 0.305 0.500
Sb 0.000 0.000 0.000
```

Space group: C2/m, No. 12
Uncorrected formation energy (eV/atom): -0.21